(1)
Entry from Alexandria: crystalline Cs2B2Se5 at its relaxed geometry (GGA-PBE).

Calculated values
E_form (uncorrected) = -3.72 eV/f.u.

abc: 14.2060 5.1476 8.4823
angles: 90.00 93.61 90.00
Space group C2/m (No. 12)
Inequivalent atoms, fractional coordinates:
Cs 0.0994 0.0000 0.3028 x4
B 0.1213 0.5000 0.8748 x4
Se 0.0000 0.5000 0.0000 x2
Se 0.1187 0.5000 0.6544 x4
Se 0.2336 0.5000 0.0316 x4

(2)
Entry from Alexandria: crystalline CsB3Se at its relaxed geometry (GGA-PBE).

Calculated values
relative energy among the computed polymorphs = 111.6 kJ/mol of atoms
E_form (uncorrected) = 16.36 eV/f.u.

abc: 5.0847 5.0847 5.0847
angles: 90.00 90.00 90.00
Space group Pm-3m (No. 221)
Inequivalent atoms, fractional coordinates:
Cs 0.0000 0.0000 0.0000 x1
B 0.0000 0.0000 0.5000 x3
Se 0.5000 0.5000 0.5000 x1

(3)
Entry from Alexandria: crystalline CsBSe2 at its relaxed geometry (GGA-PBE).

Calculated values
E_form (uncorrected) = -2.39 eV/f.u.

abc: 5.9658 5.9750 10.0632
angles: 89.96 89.91 75.69
Space group P1 (No. 1)
Inequivalent atoms, fractional coordinates:
Cs 0.0000 0.0000 0.0000 x1
Cs 0.4836 0.4803 0.5004 x1
B 0.5030 0.5034 0.9930 x1
B 0.9790 0.9768 0.4925 x1
Se 0.1040 0.1026 0.6290 x1
Se 0.3773 0.3777 0.1295 x1
Se 0.6290 0.6292 0.8566 x1
Se 0.8536 0.8513 0.3562 x1

(4)
Entry from Alexandria: crystalline CsBSe2 at its relaxed geometry (GGA-PBE).

Calculated values
E_form (uncorrected) = 0.08 eV/f.u.

abc: 6.8669 3.2137 20.2830
angles: 90.00 90.00 90.00
Space group Pnma (No. 62)
Inequivalent atoms, fractional coordinates:
Cs 0.2476 0.2500 0.1190 x4
B 0.2480 0.7500 0.3789 x4
Se 0.2476 0.2500 0.3067 x4
Se 0.2483 0.2500 0.4533 x4

(5)
Entry from Alexandria: crystalline CsB3Se at its relaxed geometry (GGA-PBE).

Calculated values
relative energy among the computed polymorphs = 0.0 kJ/mol of atoms
E_form (uncorrected) = 10.57 eV/f.u.

abc: 4.6064 4.6064 4.6064
angles: 90.00 90.00 90.00
Space group Pm-3m (No. 221)
Inequivalent atoms, fractional coordinates:
Cs 0.0000 0.0000 0.0000 x1
B 0.0000 0.5000 0.5000 x3
Se 0.5000 0.5000 0.5000 x1

(6)
Entry from Alexandria: crystalline CsBSe2 at its relaxed geometry (GGA-PBE).

Calculated values
E_form (uncorrected) = -2.65 eV/f.u.

abc: 11.2086 11.2086 10.0348
angles: 90.00 90.00 90.00
Space group P4_2/mbc (No. 135)
Inequivalent atoms, fractional coordinates:
Cs 0.2468 0.2532 0.2500 x8
B 0.0014 0.8849 0.0000 x8
Se 0.0016 0.8613 0.5000 x8
Se 0.0035 0.7165 0.0000 x8

(7)
Entry from Alexandria: crystalline CsB4Se7 at its relaxed geometry (GGA-PBE).

Calculated values
E_form (uncorrected) = -2.62 eV/f.u.

abc: 14.5430 6.0739 5.7371
angles: 90.00 90.00 90.00
Space group Pmn2_1 (No. 31)
Inequivalent atoms, fractional coordinates:
Cs 0.0000 0.2078 0.0000 x2
B 0.1263 0.6672 0.6039 x4
B 0.2485 0.1750 0.5796 x4
Se 0.0000 0.8035 0.4910 x2
Se 0.1285 0.7105 0.9626 x4
Se 0.1328 0.3470 0.4906 x4
Se 0.2389 0.8449 0.4605 x4

(8)
Entry from Alexandria: crystalline Cs4B9Se9 at its relaxed geometry (GGA-PBE).

Calculated values
E_form (uncorrected) = -13.52 eV/f.u.

abc: 10.9917 11.0870 11.5146
angles: 92.04 103.95 110.76
Space group P-1 (No. 2)
Inequivalent atoms, fractional coordinates:
Cs 0.1168 0.3739 0.1320 x2
Cs 0.1442 0.0083 0.3678 x2
Cs 0.2485 0.6308 0.4747 x2
Cs 0.3145 0.3847 0.7582 x2
B 0.1447 0.8232 0.6969 x2
B 0.1741 0.7689 0.1401 x2
B 0.3437 0.9689 0.0171 x2
B 0.3750 0.8646 0.9177 x2
B 0.3849 0.0220 0.8820 x2
B 0.4333 0.2566 0.2471 x2
B 0.4391 0.8738 0.0773 x2
B 0.4579 0.1316 0.0208 x2
B 0.4910 0.0393 0.1393 x2
Se 0.0108 0.2562 0.4394 x2
Se 0.0277 0.6636 0.2003 x2
Se 0.1616 0.9156 0.0506 x2
Se 0.2198 0.7166 0.8056 x2
Se 0.2369 0.0164 0.7354 x2
Se 0.3431 0.7325 0.1657 x2
Se 0.4147 0.2839 0.0738 x2
Se 0.4160 0.3748 0.3617 x2
Se 0.4758 0.1038 0.2985 x2

(9)
Entry from Alexandria: crystalline CsBSe2 at its relaxed geometry (GGA-PBE).

Calculated values
E_form (uncorrected) = -2.41 eV/f.u.

abc: 7.9851 7.9851 4.9835
angles: 90.00 90.00 90.00
Space group P-42_1m (No. 113)
Inequivalent atoms, fractional coordinates:
Cs 0.0000 0.0000 0.0000 x2
B 0.0000 0.5000 0.4968 x2
Se 0.1609 0.6609 0.4973 x4

(10)
Entry from Alexandria: crystalline CsBSe3 at its relaxed geometry (GGA-PBE).

Calculated values
E_form (uncorrected) = 1.71 eV/f.u.

abc: 4.8656 4.8656 4.8656
angles: 90.00 90.00 90.00
Space group Pm-3m (No. 221)
Inequivalent atoms, fractional coordinates:
Cs 0.0000 0.0000 0.0000 x1
B 0.5000 0.5000 0.5000 x1
Se 0.0000 0.5000 0.5000 x3

(11)
Entry from Alexandria: crystalline CsBSe2 at its relaxed geometry (GGA-PBE).

Calculated values
E_form (uncorrected) = -2.52 eV/f.u.

abc: 7.5460 12.2617 5.8396
angles: 90.00 90.00 90.00
Space group Pna2_1 (No. 33)
Inequivalent atoms, fractional coordinates:
Cs 0.0839 0.1522 0.0000 x4
B 0.0852 0.4469 0.3856 x4
Se 0.0881 0.4554 0.0394 x4
Se 0.2398 0.8465 0.9923 x4

(12)
Entry from Alexandria: crystalline CsBSe2 at its relaxed geometry (GGA-PBE).

Calculated values
E_form (uncorrected) = -0.04 eV/f.u.

abc: 3.7641 3.7641 26.5752
angles: 90.00 90.00 120.00
Space group R3m (No. 160, hexagonal axes)
Inequivalent atoms, fractional coordinates:
Cs 0.0000 0.0000 0.0000 x3
B 0.0000 0.0000 0.4955 x3
Se 0.0000 0.0000 0.4241 x3
Se 0.0000 0.0000 0.8625 x3

(13)
Entry from Alexandria: crystalline Cs2BSe3 at its relaxed geometry (GGA-PBE).

Calculated values
relative energy among the computed polymorphs = 0.0 kJ/mol of atoms
E_form (uncorrected) = -4.29 eV/f.u.

abc: 10.1487 12.0851 15.8427
angles: 90.00 90.00 90.00
Space group Fmmm (No. 69)
Inequivalent atoms, fractional coordinates:
Cs 0.2260 0.0000 0.0000 x8
Cs 0.2500 0.2500 0.2500 x8
B 0.0000 0.0000 0.3284 x8
Se 0.0000 0.0000 0.2060 x8
Se 0.0000 0.1380 0.3939 x16

(14)
Entry from Alexandria: crystalline CsBSe2 at its relaxed geometry (GGA-PBE).

Calculated values
E_form (uncorrected) = -2.38 eV/f.u.

abc: 6.1545 6.1755 6.1882
angles: 114.41 105.79 107.92
Space group P-1 (No. 2)
Inequivalent atoms, fractional coordinates:
Cs 0.0000 0.0000 0.0000 x1
B 0.5000 0.5000 0.0000 x1
Se 0.2569 0.4985 0.7546 x2

(15)
Entry from Alexandria: crystalline CsBSe2 at its relaxed geometry (GGA-PBE).

Calculated values
E_form (uncorrected) = -1.64 eV/f.u.

abc: 7.0081 7.0081 8.4643
angles: 90.00 90.00 90.00
Space group I-42d (No. 122)
Inequivalent atoms, fractional coordinates:
Cs 0.0000 0.0000 0.0000 x4
B 0.0000 0.0000 0.5000 x4
Se 0.1014 0.7500 0.6250 x8

(16)
Entry from Alexandria: crystalline CsBSe2 at its relaxed geometry (GGA-PBE).

Calculated values
E_form (uncorrected) = -2.53 eV/f.u.

abc: 9.1557 6.9809 12.4488
angles: 90.00 125.25 90.00
Space group P2_1/c (No. 14)
Inequivalent atoms, fractional coordinates:
Cs 0.2495 0.0843 0.2424 x4
B 0.1265 0.6049 0.0122 x4
Se 0.0002 0.1266 0.3986 x4
Se 0.2972 0.7347 0.5197 x4

(17)
Entry from Alexandria: crystalline Cs8B3Se8 at its relaxed geometry (GGA-PBE).

Calculated values
E_form (uncorrected) = -14.88 eV/f.u.

abc: 25.2792 7.1857 10.0184
angles: 90.00 108.22 90.00
Space group C2/m (No. 12)
Inequivalent atoms, fractional coordinates:
Cs 0.0256 0.0000 0.2500 x4
Cs 0.1236 0.5000 0.9600 x4
Cs 0.1729 0.5000 0.4637 x4
Cs 0.1968 0.0000 0.7860 x4
B 0.0000 0.5000 0.5000 x2
B 0.1821 0.0000 0.1935 x4
Se 0.0119 0.5000 0.3270 x4
Se 0.1139 0.0000 0.0256 x4
Se 0.1755 0.0000 0.3854 x4
Se 0.2433 0.5000 0.8343 x4

(18)
Entry from Alexandria: crystalline CsBSe2 at its relaxed geometry (GGA-PBE).

Calculated values
E_form (uncorrected) = -2.36 eV/f.u.

abc: 7.5877 13.7162 7.2446
angles: 90.00 91.00 90.00
Space group C2/c (No. 15)
Inequivalent atoms, fractional coordinates:
Cs 0.0000 0.1392 0.2500 x4
B 0.0000 0.1284 0.7500 x4
Se 0.2387 0.1218 0.7537 x8

(19)
Entry from Alexandria: crystalline CsBSe2 at its relaxed geometry (GGA-PBE).

Calculated values
E_form (uncorrected) = -2.38 eV/f.u.

abc: 6.1729 6.5431 10.4949
angles: 83.81 73.13 62.02
Space group P-1 (No. 2)
Inequivalent atoms, fractional coordinates:
Cs 0.1136 0.2550 0.2497 x2
B 0.0000 0.0000 0.0000 x1
B 0.5000 0.5000 0.5000 x1
Se 0.1718 0.1234 0.8738 x2
Se 0.3274 0.6334 0.3755 x2

(20)
Entry from Alexandria: crystalline CsBSe2 at its relaxed geometry (GGA-PBE).

Calculated values
E_form (uncorrected) = -2.33 eV/f.u.

abc: 6.1366 6.1366 18.7624
angles: 90.00 90.00 120.00
Space group R-3m (No. 166, hexagonal axes)
Inequivalent atoms, fractional coordinates:
Cs 0.0000 0.0000 0.0000 x3
B 0.0000 0.0000 0.5000 x3
Se 0.0000 0.0000 0.4032 x6